# Pa2Zn5Rh | the Alexandria database | PBE | optimized geometry
# M_tot ... 0.00 μB per cell
# VASP energy ... -34.5 eV per formula unit
data_Pa2Zn5Rh
_space_group_name_H-M_alt 'C m c m'
_space_group_IT_number 63
_space_group_name_Hall '-C 2c 2'
_cell_length_a 4.1094
_cell_length_b 16.0906
_cell_length_c 8.9374
_cell_angle_alpha 90.00
_cell_angle_beta 90.00
_cell_angle_gamma 90.00
loop_
_atom_site_label
_atom_site_type_symbol
_atom_site_fract_x
_atom_site_fract_y
_atom_site_fract_z
Pa1 Pa 0.0000 0.0000 0.0000
Pa2 Pa 0.0000 0.1869 0.2500
Zn1 Zn 0.0000 0.1925 0.6096
Zn2 Zn 0.0000 0.3505 0.5175
Zn3 Zn 0.0000 0.3977 0.2500
Rh1 Rh 0.0000 0.4440 0.7500